1.
A geometry-optimized Tb4AgPt3 structure, computed with PBE.

```
8
Lattice="-4.2712 1.8707 -1.8223 -1.1205 -0.5790 -4.8448 -5.6060 -6.5902 -0.5025" Properties=species:S:1:pos:R:3 pbc="T T T"
Tb -6.8604 -1.4158 -6.0039
Tb -6.8863 -5.2069 -2.9582
Tb -4.1372 -3.8827 -1.1657
Tb -4.1113 -0.0916 -4.2114
Pt -2.6800 -1.1968 -1.8237
Pt -8.3176 -4.1018 -5.3459
Pt -5.4988 -2.6493 -3.5848
Ag 0.0000 0.0000 0.0000
```

Output
Energy relative to the elements ... -0.9943 eV/atom
E ... -5.93 eV/atom

2.
A geometry-optimized TbAgPt structure, computed with PBE.

```
3
Lattice="4.6673 0.0000 0.0000 2.3337 4.0420 0.0000 2.3337 1.3473 3.8109" Properties=species:S:1:pos:R:3 pbc="T T T"
Tb 4.6673 2.6947 1.9054
Ag 0.0000 0.0000 0.0000
Pt 2.3337 1.3473 0.9527
```

Output
Energy relative to the elements ... -0.6645 eV/atom
Excess energy over the best structure of this formula in the dataset ... 0.171 eV per atom
E ... -5.17 eV/atom

3.
A geometry-optimized Tb6AgPt2 structure, computed with PBE.

```
18
Lattice="8.0079 -0.1099 -2.9421 -4.2894 7.0028 -2.3144 -0.1081 0.1099 8.5306" Properties=species:S:1:pos:R:3 pbc="T T T"
Tb 1.1350 5.0419 3.7667
Tb 2.4754 1.9609 -0.4925
Tb -0.4678 2.0708 6.0324
Tb 4.0783 4.9320 -2.7583
Tb 3.1272 5.3051 0.7059
Tb 0.4833 1.6978 2.5682
Tb -1.8149 5.4150 5.8169
Tb 5.4254 1.5879 -2.5427
Tb 3.9381 2.5749 2.8110
Tb -0.3276 4.4280 0.4631
Tb -1.8239 6.8481 2.5782
Tb 5.4343 0.1547 0.6959
Ag -2.1987 3.5564 3.1081
Ag 0.0000 0.0000 0.0000
Pt 2.3400 2.6040 5.0701
Pt 1.2705 4.3988 -1.7959
Pt 5.2341 0.0000 3.7027
Pt 2.6658 0.0000 1.8858
```

Output
Energy relative to the elements ... -0.6544 eV/atom
E ... -5.40 eV/atom

4.
A geometry-optimized TbTlAgPt structure, computed with PBE.

```
4
Lattice="4.9284 0.0000 0.0000 2.4642 4.2681 0.0000 2.4642 1.4227 4.0240" Properties=species:S:1:pos:R:3 pbc="T T T"
Tl 2.4642 1.4227 1.0060
Tb 7.3925 4.2681 3.0180
Ag 0.0000 0.0000 0.0000
Pt 4.9284 2.8454 2.0120
```

Output
Energy relative to the elements ... -0.4849 eV/atom
E ... -4.46 eV/atom

5.
A geometry-optimized TbTmAgPt structure, computed with PBE.

```
4
Lattice="-4.9475 -0.4077 -0.5981 -1.8771 -3.5972 -2.9221 -2.4559 -3.8493 2.0380" Properties=species:S:1:pos:R:3 pbc="T T T"
Tm -4.6402 -3.9271 -0.7411
Tb 0.0000 0.0000 0.0000
Ag -2.3201 -1.9635 -0.3705
Pt -6.9604 -5.8906 -1.1116
```

Output
Energy relative to the elements ... -0.7991 eV/atom
E ... -5.30 eV/atom

6.
A geometry-optimized TbYAgPt structure, computed with PBE.

```
4
Lattice="5.0394 0.0000 0.0000 2.5197 4.3642 0.0000 2.5197 1.4547 4.1147" Properties=species:S:1:pos:R:3 pbc="T T T"
Y 5.0394 2.9095 2.0573
Tb 0.0000 0.0000 0.0000
Ag 2.5197 1.4547 1.0287
Pt 7.5591 4.3642 3.0860
```

Output
Energy relative to the elements ... -0.7762 eV/atom
E ... -5.77 eV/atom

7.
A geometry-optimized TbZnAgPt structure, computed with PBE.

```
4
Lattice="4.7694 0.0000 0.0000 2.3847 4.1304 0.0000 2.3847 1.3768 3.8942" Properties=species:S:1:pos:R:3 pbc="T T T"
Zn 4.7694 2.7536 1.9471
Tb 0.0000 0.0000 0.0000
Ag 2.3847 1.3768 0.9735
Pt 7.1541 4.1304 2.9206
```

Output
Energy relative to the elements ... -0.5561 eV/atom
E ... -4.26 eV/atom

8.
A geometry-optimized TbZrAgPt structure, computed with PBE.

```
4
Lattice="4.9177 0.0000 0.0000 2.4589 4.2589 0.0000 2.4589 1.4196 4.0153" Properties=species:S:1:pos:R:3 pbc="T T T"
Zr 0.0000 0.0000 0.0000
Tb 4.9177 2.8392 2.0076
Ag 2.4589 1.4196 1.0038
Pt 7.3766 4.2589 3.0115
```

Output
Energy relative to the elements ... -0.5558 eV/atom
E ... -6.07 eV/atom

9.
A geometry-optimized Tc2AgPt structure, computed with PBE.

```
4
Lattice="-1.2186 -4.7391 3.5165 4.7948 1.2556 -0.7769 0.3389 0.3482 2.6510" Properties=species:S:1:pos:R:3 pbc="T T T"
Ag 2.5668 0.8019 0.9370
Pt 1.7881 -1.7417 1.3698
Tc 0.0000 0.0000 0.0000
Tc -0.4399 -2.1954 3.0837
```

Output
Energy relative to the elements ... 0.3022 eV/atom
Excess energy over the best structure of this formula in the dataset ... 0.274 eV per atom
E ... -7.10 eV/atom

10.
A geometry-optimized TcAgPt2 structure, computed with PBE.

```
4
Lattice="-0.2742 2.4349 -1.3060 -2.4303 0.4118 1.2781 3.8769 3.7438 6.1658" Properties=species:S:1:pos:R:3 pbc="T T T"
Ag 1.5444 4.2206 4.5928
Pt 0.0295 0.0285 0.0469
Pt -0.3409 2.4001 1.5946
Tc 1.8778 1.8133 2.9864
```

Output
Energy relative to the elements ... 0.0838 eV/atom
Excess energy over the best structure of this formula in the dataset ... 0.196 eV per atom
E ... -6.24 eV/atom

11.
A geometry-optimized TcAgPt2 structure, computed with PBE.

```
4
Lattice="-2.8428 -2.6172 2.9357 -0.5707 -4.1204 2.4993 1.8380 1.5191 4.3365" Properties=species:S:1:pos:R:3 pbc="T T T"
Ag -0.4081 -1.3122 2.3947
Pt -0.0006 -0.0153 0.0497
Pt -1.2350 -3.9719 7.2507
Tc -0.7195 -2.5282 4.9620
```

Output
Energy relative to the elements ... 0.0659 eV/atom
Excess energy over the best structure of this formula in the dataset ... 0.178 eV per atom
E ... -6.26 eV/atom

12.
A geometry-optimized TcAgPt2 structure, computed with PBE.

```
4
Lattice="9.4265 0.0046 0.0027 9.0099 2.7714 0.0027 9.0099 1.3567 2.4167" Properties=species:S:1:pos:R:3 pbc="T T T"
Ag 20.5847 3.0995 1.8166
Pt 27.3238 4.1143 2.4113
Pt 13.8456 2.0848 1.2218
Tc 6.8616 1.0332 0.6055
```

Output
Energy relative to the elements ... -0.0366 eV/atom
Excess energy over the best structure of this formula in the dataset ... 0.075 eV per atom
E ... -6.36 eV/atom

13.
A geometry-optimized TcAg2Pt structure, computed with PBE.

```
4
Lattice="5.2341 -0.0028 0.0000 -2.4158 4.6433 0.0000 0.0000 0.0000 2.6906" Properties=species:S:1:pos:R:3 pbc="T T T"
Ag 0.0000 0.0000 0.0000
Ag 1.4092 2.3202 0.0000
Pt 2.6171 -0.0014 1.3453
Tc -1.2079 2.3216 1.3453
```

Output
Energy relative to the elements ... 0.4164 eV/atom
Excess energy over the best structure of this formula in the dataset ... 0.300 eV per atom
E ... -5.11 eV/atom

14.
A geometry-optimized TcAg2Pt structure, computed with PBE.

```
4
Lattice="2.7105 0.0000 0.0000 0.0000 2.7105 0.0000 0.0000 0.0000 8.8600" Properties=species:S:1:pos:R:3 pbc="T T T"
Ag 0.0000 0.0000 0.0134
Ag 0.0000 0.0000 4.4166
Pt 1.3553 1.3553 2.2150
Tc 1.3553 1.3553 6.6450
```

Output
Energy relative to the elements ... 0.3594 eV/atom
Excess energy over the best structure of this formula in the dataset ... 0.243 eV per atom
E ... -5.17 eV/atom

15.
A geometry-optimized TcAg2Pt structure, computed with PBE.

```
4
Lattice="-1.0908 -2.0186 -1.5147 4.2757 -2.2327 -0.1038 -1.1976 -2.4876 4.1777" Properties=species:S:1:pos:R:3 pbc="T T T"
Ag 0.0000 0.0000 0.0000
Ag 1.5924 -2.1256 -0.8092
Pt -1.1442 -2.2531 1.3315
Tc 1.5391 -2.3602 2.0369
```

Output
Energy relative to the elements ... 0.3186 eV/atom
Excess energy over the best structure of this formula in the dataset ... 0.202 eV per atom
E ... -5.21 eV/atom

16.
A geometry-optimized TcAg2Pt structure, computed with PBE.

```
4
Lattice="-2.3966 -0.1375 -1.2385 1.1637 -3.8382 -1.8257 -2.0765 -2.6827 4.3164" Properties=species:S:1:pos:R:3 pbc="T T T"
Ag -2.0723 -2.6773 4.3076
Ag -1.0425 -1.3468 2.1669
Pt -1.1356 -2.6585 -0.4530
Tc -2.1739 -3.9999 1.7052
```

Output
Energy relative to the elements ... 0.4082 eV/atom
Excess energy over the best structure of this formula in the dataset ... 0.292 eV per atom
E ... -5.12 eV/atom

17.
A geometry-optimized Tc2AgPt structure, computed with PBE.

```
4
Lattice="-2.3470 -1.3708 0.6026 0.0829 -1.2375 -2.4924 4.3217 -6.0220 3.1336" Properties=species:S:1:pos:R:3 pbc="T T T"
Ag 2.1516 -2.9981 1.5601
Pt 2.1783 -5.9169 1.4554
Tc 0.0391 -0.0545 0.0283
Tc -0.1506 -2.6718 -0.2333
```

Output
Energy relative to the elements ... 0.0924 eV/atom
Excess energy over the best structure of this formula in the dataset ... 0.064 eV per atom
E ... -7.31 eV/atom

18.
A geometry-optimized Tc2AgPt structure, computed with PBE.

```
4
Lattice="4.8460 0.0233 -0.0378 4.0900 2.5992 -0.0378 0.7087 0.2080 4.9326" Properties=species:S:1:pos:R:3 pbc="T T T"
Ag 4.8057 1.4103 2.4624
Pt 7.1804 2.1072 3.6427
Tc 0.0821 0.0241 0.0630
Tc 2.3988 0.7040 1.1174
```

Output
Energy relative to the elements ... 0.2193 eV/atom
Excess energy over the best structure of this formula in the dataset ... 0.191 eV per atom
E ... -7.19 eV/atom

19.
A geometry-optimized Tc2AgPt structure, computed with PBE.

```
4
Lattice="2.6971 -0.0002 0.0000 0.0002 2.6971 0.0000 0.0000 0.0000 8.5016" Properties=species:S:1:pos:R:3 pbc="T T T"
Ag 1.3487 1.3485 2.1254
Pt 1.3487 1.3485 6.3762
Tc 0.0000 0.0000 8.4146
Tc 0.0000 0.0000 4.3378
```

Output
Energy relative to the elements ... 0.2790 eV/atom
Excess energy over the best structure of this formula in the dataset ... 0.251 eV per atom
E ... -7.13 eV/atom

20.
A geometry-optimized Tc2AgPt structure, computed with PBE.

```
4
Lattice="3.8210 0.0000 0.0000 0.0000 3.8329 0.0000 0.0000 0.0000 4.2092" Properties=species:S:1:pos:R:3 pbc="T T T"
Ag 1.9105 0.0000 2.1046
Pt 0.0000 1.9164 2.1046
Tc 0.0000 0.0000 0.0000
Tc 1.9105 1.9164 0.0000
```

Output
Energy relative to the elements ... 0.3381 eV/atom
Excess energy over the best structure of this formula in the dataset ... 0.310 eV per atom
E ... -7.07 eV/atom

21.
A geometry-optimized Tc2AgPt structure, computed with PBE.

```
4
Lattice="4.4643 0.0000 0.0000 2.2322 3.8662 0.0000 2.2322 1.2887 3.6451" Properties=species:S:1:pos:R:3 pbc="T T T"
Ag 4.4643 2.5775 1.8226
Pt 6.6965 3.8662 2.7338
Tc 0.0000 0.0000 0.0000
Tc 2.2322 1.2887 0.9113
```

Output
Energy relative to the elements ... 0.4520 eV/atom
Excess energy over the best structure of this formula in the dataset ... 0.424 eV per atom
E ... -6.95 eV/atom

22.
A geometry-optimized TcAg2Pt structure, computed with PBE.

```
4
Lattice="9.5985 -0.0074 -0.0043 9.1863 2.7829 -0.0043 9.1863 1.3573 2.4294" Properties=species:S:1:pos:R:3 pbc="T T T"
Ag 0.0589 0.0087 0.0051
Ag 6.9550 1.0276 0.6019
Pt 13.8687 2.0491 1.2003
Tc 21.0741 3.1138 1.8239
```

Output
Energy relative to the elements ... 0.1620 eV/atom
Excess energy over the best structure of this formula in the dataset ... 0.046 eV per atom
E ... -5.37 eV/atom

23.
A geometry-optimized TcAgPt2 structure, computed with PBE.

```
4
Lattice="-1.0038 1.7368 -3.5530 2.0819 -2.8839 -1.9979 -3.1926 -2.1886 -0.1678" Properties=species:S:1:pos:R:3 pbc="T T T"
Ag -0.5553 -2.5362 -1.0829
Pt 0.0000 0.0000 0.0000
Pt 0.5391 -0.5736 -2.7755
Tc -2.0982 -0.2259 -1.8604
```

Output
Energy relative to the elements ... 0.2578 eV/atom
Excess energy over the best structure of this formula in the dataset ... 0.370 eV per atom
E ... -6.07 eV/atom

24.
A geometry-optimized Tc2AgPt structure, computed with PBE.

```
4
Lattice="0.0000 3.1529 3.1529 3.1529 0.0000 3.1529 3.1529 3.1529 0.0000" Properties=species:S:1:pos:R:3 pbc="T T T"
Ag 0.0000 0.0000 0.0000
Pt 3.1529 3.1529 3.1529
Tc 1.5764 1.5764 1.5764
Tc 4.7293 4.7293 4.7293
```

Output
Energy relative to the elements ... 0.6325 eV/atom
Excess energy over the best structure of this formula in the dataset ... 0.604 eV per atom
E ... -6.77 eV/atom

25.
A geometry-optimized TcAg2Pt structure, computed with PBE.

```
4
Lattice="-4.3154 -7.8583 3.6612 -4.6686 -8.4317 0.9442 -2.2844 -9.1436 2.2264" Properties=species:S:1:pos:R:3 pbc="T T T"
Ag -0.0033 -0.0075 0.0020
Ag -5.6309 -12.7093 3.4139
Pt -2.8171 -6.3584 1.7080
Tc -8.4513 -19.0752 5.1239
```

Output
Energy relative to the elements ... 0.2798 eV/atom
Excess energy over the best structure of this formula in the dataset ... 0.163 eV per atom
E ... -5.25 eV/atom

26.
A geometry-optimized Tc2AgPt structure, computed with PBE.

```
4
Lattice="5.0007 -0.0030 0.0000 2.0822 4.5466 0.0000 -3.5414 -2.2718 2.7026" Properties=species:S:1:pos:R:3 pbc="T T T"
Ag 1.0411 2.2733 1.3513
Pt 2.5003 -0.0015 1.3513
Tc 0.0000 0.0000 0.0000
Tc 3.5414 2.2718 0.0000
```

Output
Energy relative to the elements ... 0.2982 eV/atom
Excess energy over the best structure of this formula in the dataset ... 0.270 eV per atom
E ... -7.11 eV/atom

27.
A geometry-optimized Tc2AgPt2 structure, computed with PBE.

```
10
Lattice="7.8028 0.0000 0.0000 0.0000 7.8028 0.0000 0.0000 0.0000 2.7255" Properties=species:S:1:pos:R:3 pbc="T T T"
Ag 0.0000 0.0000 0.0000
Ag 3.9014 3.9014 0.0000
Pt 1.4022 5.3036 1.3627
Pt 5.3036 6.4006 1.3627
Pt 6.4006 2.4992 1.3627
Pt 2.4992 1.4022 1.3627
Tc 3.0279 6.9293 0.0000
Tc 6.9293 4.7749 0.0000
Tc 4.7749 0.8735 0.0000
Tc 0.8735 3.0279 0.0000
```

Output
Energy relative to the elements ... 0.1783 eV/atom
Excess energy over the best structure of this formula in the dataset ... 0.000 eV per atom
E ... -6.95 eV/atom

28.
A geometry-optimized Tc2AgPt structure, computed with PBE.

```
4
Lattice="3.3956 0.0000 0.0000 0.0000 3.3956 0.0000 0.0000 0.0000 5.5871" Properties=species:S:1:pos:R:3 pbc="T T T"
Ag 1.6978 1.6978 1.3968
Pt 1.6978 1.6978 4.1903
Tc 0.0000 0.0000 5.4266
Tc 0.0000 0.0000 2.9540
```

Output
Energy relative to the elements ... 0.5080 eV/atom
Excess energy over the best structure of this formula in the dataset ... 0.480 eV per atom
E ... -6.90 eV/atom

29.
A geometry-optimized TcAg2Pt structure, computed with PBE.

```
4
Lattice="5.1725 -0.0123 0.0000 2.2104 4.6765 0.0000 -3.6915 -2.3321 2.7730" Properties=species:S:1:pos:R:3 pbc="T T T"
Ag 0.0000 0.0000 0.0000
Ag 3.6915 2.3321 0.0000
Pt 1.1052 2.3382 1.3865
Tc 2.5863 -0.0062 1.3865
```

Output
Energy relative to the elements ... 0.4089 eV/atom
Excess energy over the best structure of this formula in the dataset ... 0.293 eV per atom
E ... -5.12 eV/atom